Record 1
The following is a DFT calculation (PBE-GGA) of crystalline SiNi3Pd at its relaxed geometry.

Cell: 4.5232 4.5232 4.5232 Å, 90.00 90.00 90.00°
Positions (direct):
Si 0.0000 0.0000 0.0000
Ni 0.0000 0.5000 0.5000
Ni 0.5000 0.0000 0.5000
Ni 0.5000 0.5000 0.0000
Pd 0.5000 0.5000 0.5000

Values from the calculation:
E = -21.15 eV per formula unit
space group = Pm-3m (221)
formation energy (no corrections) = 1362 meV per atom

Record 2
The following is a DFT calculation (PBE-GGA) of crystalline La6Ni2AgI3 at its relaxed geometry.

Cell: 7.4788 7.4788 8.4966 Å, 98.51 98.51 119.87°
Positions (direct):
La 0.0739 0.4361 0.8085
La 0.2013 0.2013 0.1886
La 0.4361 0.0739 0.8085
La 0.5639 0.9261 0.1915
La 0.7987 0.7987 0.8114
La 0.9261 0.5639 0.1915
Ni 0.1673 0.8327 0.0000
Ni 0.8327 0.1673 0.0000
Ag 0.5000 0.5000 0.0000
I 0.0000 0.0000 0.5000
I 0.3394 0.6606 0.5000
I 0.6606 0.3394 0.5000

Values from the calculation:
E = -56.79 eV per formula unit
space group = C2/m (12)
formation energy (no corrections) = -680 meV per atom

Record 3
The following is a DFT calculation (PBE-GGA) of crystalline DyZrCSe at its relaxed geometry.

Cell: 6.9020 6.9020 6.9020 Å, 30.05 30.05 30.05°
Positions (direct):
Dy 0.0000 0.0000 0.0000
Zr 0.2024 0.2024 0.2024
C 0.5924 0.5924 0.5924
Se 0.7725 0.7725 0.7725

Values from the calculation:
E = -30.36 eV per formula unit
space group = R3m (160)
formation energy (no corrections) = -1126 meV per atom

Record 4
The following is a DFT calculation (PBE-GGA) of crystalline Dy3PuHg5 at its relaxed geometry.

Cell: 9.2189 9.2189 6.2394 Å, 90.00 90.00 120.00°
Positions (direct):
Dy 0.0000 0.3590 0.2500
Dy 0.0000 0.6410 0.7500
Dy 0.3590 0.0000 0.2500
Dy 0.3590 0.3590 0.7500
Dy 0.6410 0.0000 0.7500
Dy 0.6410 0.6410 0.2500
Pu 0.0000 0.0000 0.0000
Pu 0.0000 0.0000 0.5000
Hg 0.0000 0.3104 0.7500
Hg 0.0000 0.6896 0.2500
Hg 0.3104 0.0000 0.7500
Hg 0.3104 0.3104 0.2500
Hg 0.3333 0.6667 0.0000
Hg 0.3333 0.6667 0.5000
Hg 0.6667 0.3333 0.0000
Hg 0.6667 0.3333 0.5000
Hg 0.6896 0.0000 0.2500
Hg 0.6896 0.6896 0.7500

Values from the calculation:
E = -32.71 eV per formula unit
space group = P6_3/mcm (193)
ΔH_f (0 K) = -0.340 eV per atom

Record 5
The following is a DFT calculation (PBE-GGA) of crystalline DyEr2Zn at its relaxed geometry.

Cell: 4.7119 4.7119 4.7130 Å, 90.00 90.00 90.00°
Positions (direct):
Dy 0.0000 0.0000 0.0000
Er 0.0000 0.5000 0.5000
Er 0.5000 0.0000 0.5000
Zn 0.5000 0.5000 0.0000

Values from the calculation:
E = -15.11 eV per formula unit
space group = P4/mmm (123)
ΔH_f (0 K) = -0.028 eV per atom

Record 6
The following is a DFT calculation (PBE-GGA) of crystalline ReTcW2 at its relaxed geometry.

Cell: 6.9773 6.9773 6.9773 Å, 131.46 131.46 71.09°
Positions (direct):
Re 0.0000 0.0000 0.0000
Re 0.7500 0.2500 0.5000
Tc 0.2500 0.7500 0.5000
Tc 0.5000 0.5000 0.0000
W 0.1284 0.6250 0.0034
W 0.3750 0.3784 0.5034
W 0.6216 0.1250 0.9966
W 0.8750 0.8716 0.4966

Values from the calculation:
E = -40.89 eV per formula unit
space group = I-42d (122)
ΔH_f (0 K) = 1.957 eV per atom

Record 7
The following is a DFT calculation (PBE-GGA) of crystalline LiLaCeTe3 at its relaxed geometry.

Cell: 9.2659 4.3713 9.7197 Å, 90.00 103.30 90.00°
Positions (direct):
Li 0.0855 0.2500 0.0856
Li 0.9145 0.7500 0.9144
La 0.1817 0.2500 0.7291
La 0.8183 0.7500 0.2709
Ce 0.3365 0.7500 0.3417
Ce 0.6635 0.2500 0.6583
Te 0.0918 0.2500 0.3713
Te 0.2218 0.7500 0.9985
Te 0.4240 0.7500 0.6806
Te 0.5760 0.2500 0.3194
Te 0.7782 0.2500 0.0015
Te 0.9082 0.7500 0.6287

Values from the calculation:
E = -30.24 eV per formula unit
space group = P2_1/m (11)
formation energy (no corrections) = -1339 meV per atom

Record 8
The following is a DFT calculation (PBE-GGA) of crystalline Ba2CaRh at its relaxed geometry.

Cell: 7.5921 7.5921 7.5921 Å, 145.03 135.85 57.52°
Positions (direct):
Ba 0.1536 0.1536 0.0000
Ba 0.8464 0.8464 0.0000
Ca 0.5000 0.5000 0.0000
Rh 0.0000 0.5000 0.5000

Values from the calculation:
E = -14.06 eV per formula unit
space group = Immm (71)
ΔH_f (0 K) = -0.214 eV per atom

Record 9
The following is a DFT calculation (PBE-GGA) of crystalline YMg2Br at its relaxed geometry.

Cell: 3.5396 3.5396 9.0914 Å, 90.00 90.00 90.00°
Positions (direct):
Y 0.0000 0.0000 0.0000
Mg 0.0000 0.0000 0.5550
Mg 0.5000 0.5000 0.7524
Br 0.5000 0.5000 0.1859

Values from the calculation:
E = -13.05 eV per formula unit
space group = P4mm (99)
formation energy (no corrections) = -430 meV per atom

Record 10
The following is a DFT calculation (PBE-GGA) of crystalline PIrF2 at its relaxed geometry.

Cell: 10.5655 10.5655 10.5655 Å, 14.12 14.12 14.12°
Positions (direct):
P 0.0000 0.0000 0.0000
Ir 0.5000 0.5000 0.5000
F 0.0521 0.0521 0.0521
F 0.9479 0.9479 0.9479

Values from the calculation:
E = -20.75 eV per formula unit
space group = R-3m (166)
formation energy (no corrections) = -684 meV per atom

Record 11
The following is a DFT calculation (PBE-GGA) of crystalline CdB4Rh6 at its relaxed geometry.

Cell: 5.6765 5.6765 5.6915 Å, 119.81 119.81 89.97°
Positions (direct):
Cd 0.0000 0.0000 0.0000
B 0.2805 0.2805 0.8592
B 0.4189 0.7213 0.1377
B 0.5856 0.5856 0.8636
B 0.7213 0.4189 0.1377
Rh 0.0019 0.4997 0.9999
Rh 0.1082 0.4653 0.5687
Rh 0.4653 0.1082 0.5687
Rh 0.4997 0.0019 0.9999
Rh 0.5385 0.5385 0.4317
Rh 0.8953 0.8953 0.4311

Values from the calculation:
E = -73.19 eV per formula unit
space group = Cm (8)
ΔH_f (0 K) = -0.132 eV per atom

Record 12
The following is a DFT calculation (PBE-GGA) of crystalline PuAlCu2Au4 at its relaxed geometry.

Cell: 8.9401 8.9401 8.9401 Å, 28.83 28.83 28.83°
Positions (direct):
Pu 0.0000 0.0000 0.0000
Al 0.5000 0.5000 0.5000
Cu 0.2419 0.2419 0.2419
Cu 0.7581 0.7581 0.7581
Au 0.1316 0.1316 0.1316
Au 0.3977 0.3977 0.3977
Au 0.6023 0.6023 0.6023
Au 0.8684 0.8684 0.8684

Values from the calculation:
E = -41.14 eV per formula unit
space group = R-3m (166)
ΔH_f (0 K) = -0.221 eV per atom

In order of appearance, V = 92.5; 393.7; 73.0; 459.2; 104.6; 186.8; 383.1; 173.3; 113.9; 61.1; 130.5; 146.9 Å³/cell.